## SrAsBr2 (PBE)

Data for a relaxed structure of SrAsBr2.

abc: 7.835 7.835 7.835
angles: 90.00 90.00 90.00
Fractional coordinates of all 16 atoms:
1 Sr 0.000 0.000 0.000
2 Sr 0.000 0.500 0.500
3 Sr 0.500 0.000 0.500
4 Sr 0.500 0.500 0.000
5 As 0.000 0.000 0.500
6 As 0.000 0.500 0.000
7 As 0.500 0.000 0.000
8 As 0.500 0.500 0.500
9 Br 0.250 0.250 0.250
10 Br 0.250 0.250 0.750
11 Br 0.250 0.750 0.250
12 Br 0.250 0.750 0.750
13 Br 0.750 0.250 0.250
14 Br 0.750 0.250 0.750
15 Br 0.750 0.750 0.250
16 Br 0.750 0.750 0.750

## Properties
Fermi-level density of states	0.71	states/eV/cell
crystal system	cubic
ΔE_f (raw)	-0.7476	eV/atom
relative energy among the computed polymorphs	251	meV/atom